# PaCo2GeH PBE relaxed
# Size of the total moment, μB per cell: 0.00
# Raw total energy, eV per atom: -6.79
data_PaCo2GeH
_chemical_formula_sum 'Pa4 Co8 Ge4 H4'
_cell_length_a 3.912
_cell_length_b 10.501
_cell_length_c 6.371
_cell_angle_alpha 90.00
_cell_angle_beta 90.00
_cell_angle_gamma 90.00
_symmetry_space_group_name_H-M 'C m c m'
_symmetry_Int_Tables_number 63
_symmetry_space_group_name_Hall '-C 2c 2'
loop_
_atom_site_label
_atom_site_type_symbol
_atom_site_fract_x
_atom_site_fract_y
_atom_site_fract_z
Pa1 Pa 0.000 0.089 0.250
Co1 Co 0.000 0.342 0.041
Ge1 Ge 0.000 0.195 0.750
H1 H 0.000 0.500 0.000